*P*
Below is an optimized crystal structure of Sb2TeIrF, with properties calculated at the GGA-PBE level.

POSCAR file:
```
Sb2TeIrF
1.0
5.1450 0.0000 0.0000
0.0000 5.1450 0.0000
0.0000 0.0000 5.3527
Sb Te Ir F
2 1 1 1
direct
0.0000 0.5000 0.0000
0.5000 0.0000 0.0000
0.0000 0.0000 0.5000
0.0000 0.0000 0.0000
0.5000 0.5000 0.5000
```

Calculated values
- SG: P4/mmm
- Total magnetic moment: 0.0 μB per formula unit

---

*Q*
Below is an optimized crystal structure of Sb2TeIrF, with properties calculated at the GGA-PBE level.

POSCAR file:
```
Sb2TeIrF
1.0
4.6326 0.0000 0.0000
0.0000 4.6326 0.0000
0.0000 0.0000 5.1152
Sb Te Ir F
2 1 1 1
direct
0.0000 0.5000 0.0000
0.5000 0.0000 0.0000
0.0000 0.0000 0.5000
0.5000 0.5000 0.5000
0.0000 0.0000 0.0000
```

Calculated values
- SG: P4/mmm
- Total magnetic moment: 0.0 μB per formula unit

---

Winner for stability: *P*

---

*P*
Below is an optimized crystal structure of ScIr2F, with properties calculated at the GGA-PBE level.

POSCAR file:
```
ScIr2F
1.0
3.5234 0.0000 0.0000
0.0000 3.5234 0.0000
0.0000 0.0000 20.9597
Sc Ir F
4 8 4
direct
0.0000 0.0000 0.0000
0.0000 0.5000 0.2500
0.5000 0.0000 0.7500
0.5000 0.5000 0.5000
0.2472 0.2500 0.6250
0.2500 0.7472 0.8750
0.2500 0.7528 0.3750
0.2528 0.2500 0.1250
0.7472 0.7500 0.1250
0.7500 0.2472 0.3750
0.7500 0.2528 0.8750
0.7528 0.7500 0.6250
0.0000 0.0000 0.5000
0.0000 0.5000 0.7500
0.5000 0.0000 0.2500
0.5000 0.5000 0.0000
```

Calculated values
- SG: I-42d
- Total magnetic moment: 0.0 μB per formula unit

---

*Q*
Below is an optimized crystal structure of ScIr2F, with properties calculated at the GGA-PBE level.

POSCAR file:
```
ScIr2F
1.0
6.2203 0.0000 0.0000
0.0000 6.2203 0.0000
0.0000 0.0000 6.2203
Sc Ir F
4 8 4
direct
0.0000 0.0000 0.0000
0.0000 0.5000 0.5000
0.5000 0.0000 0.5000
0.5000 0.5000 0.0000
0.2500 0.2500 0.2500
0.2500 0.2500 0.7500
0.2500 0.7500 0.2500
0.2500 0.7500 0.7500
0.7500 0.2500 0.2500
0.7500 0.2500 0.7500
0.7500 0.7500 0.2500
0.7500 0.7500 0.7500
0.0000 0.0000 0.5000
0.0000 0.5000 0.0000
0.5000 0.0000 0.0000
0.5000 0.5000 0.5000
```

Calculated values
- SG: Fm-3m
- Total magnetic moment: 0.0 μB per formula unit

---

Winner for stability: *P*

---

*P*
Below is an optimized crystal structure of Sc2IrF, with properties calculated at the GGA-PBE level.

POSCAR file:
```
Sc2IrF
1.0
6.4455 0.0000 0.0000
0.0000 6.4455 0.0000
0.0000 0.0000 6.4455
Sc Ir F
8 4 4
direct
0.2500 0.2500 0.2500
0.2500 0.2500 0.7500
0.2500 0.7500 0.2500
0.2500 0.7500 0.7500
0.7500 0.2500 0.2500
0.7500 0.2500 0.7500
0.7500 0.7500 0.2500
0.7500 0.7500 0.7500
0.0000 0.0000 0.0000
0.0000 0.5000 0.5000
0.5000 0.0000 0.5000
0.5000 0.5000 0.0000
0.0000 0.0000 0.5000
0.0000 0.5000 0.0000
0.5000 0.0000 0.0000
0.5000 0.5000 0.5000
```

Calculated values
- SG: Fm-3m
- Total magnetic moment: 0.0 μB per formula unit

---

*Q*
Below is an optimized crystal structure of Sc2IrF, with properties calculated at the GGA-PBE level.

POSCAR file:
```
Sc2IrF
1.0
3.9683 0.0000 0.0000
-1.9841 3.4366 0.0000
0.0000 0.0000 19.9631
Sc Ir F
6 3 3
direct
0.0000 0.0000 0.1026
0.0000 0.0000 0.8974
0.3333 0.6667 0.5641
0.3333 0.6667 0.7693
0.6667 0.3333 0.2307
0.6667 0.3333 0.4359
0.0000 0.0000 0.5000
0.3333 0.6667 0.1667
0.6667 0.3333 0.8333
0.0000 0.0000 0.0000
0.3333 0.6667 0.6667
0.6667 0.3333 0.3333
```

Calculated values
- SG: R-3m
- Total magnetic moment: 0.0 μB per formula unit

---

*R*
Below is an optimized crystal structure of Sc2IrF, with properties calculated at the GGA-PBE level.

POSCAR file:
```
Sc2IrF
1.0
6.2689 0.0000 0.0000
0.0000 6.2689 0.0000
0.0000 0.0000 7.0819
Sc Ir F
8 4 4
direct
0.1976 0.2500 0.1250
0.2500 0.6976 0.3750
0.2500 0.8024 0.8750
0.3024 0.2500 0.6250
0.6976 0.7500 0.6250
0.7500 0.1976 0.8750
0.7500 0.3024 0.3750
0.8024 0.7500 0.1250
0.0000 0.0000 0.5000
0.0000 0.5000 0.7500
0.5000 0.0000 0.2500
0.5000 0.5000 0.0000
0.0000 0.0000 0.0000
0.0000 0.5000 0.2500
0.5000 0.0000 0.7500
0.5000 0.5000 0.5000
```

Calculated values
- SG: I-42d
- Total magnetic moment: 0.0 μB per formula unit

---

Winner for stability: *Q*

---

*P*
Below is an optimized crystal structure of Sc3IrF, with properties calculated at the GGA-PBE level.

POSCAR file:
```
Sc3IrF
1.0
5.0728 0.0000 0.0000
0.0000 5.0728 0.0000
0.0000 0.0000 5.0728
Sc Ir F
3 1 1
direct
0.0000 0.0000 0.5000
0.0000 0.5000 0.0000
0.5000 0.0000 0.0000
0.0000 0.0000 0.0000
0.5000 0.5000 0.5000
```

Calculated values
- SG: Pm-3m
- Total magnetic moment: 0.0 μB per formula unit

---

*Q*
Below is an optimized crystal structure of Sc3IrF, with properties calculated at the GGA-PBE level.

POSCAR file:
```
Sc3IrF
1.0
4.3655 0.0000 0.0000
0.0000 4.3655 0.0000
0.0000 0.0000 4.3655
Sc Ir F
3 1 1
direct
0.0000 0.0000 0.5000
0.0000 0.5000 0.0000
0.5000 0.0000 0.0000
0.5000 0.5000 0.5000
0.0000 0.0000 0.0000
```

Calculated values
- SG: Pm-3m
- Total magnetic moment: 0.0 μB per formula unit

---

Winner for stability: *Q*

---

*P*
Below is an optimized crystal structure of ScIrF2, with properties calculated at the GGA-PBE level.

POSCAR file:
```
ScIrF2
1.0
2.8221 0.0000 0.0000
-1.4110 2.4440 0.0000
0.0000 0.0000 29.0246
Sc Ir F
3 3 6
direct
0.0000 0.0000 0.0000
0.3333 0.6667 0.6667
0.6667 0.3333 0.3333
0.0000 0.0000 0.5000
0.3333 0.6667 0.1667
0.6667 0.3333 0.8333
0.0000 0.0000 0.3792
0.0000 0.0000 0.6208
0.3333 0.6667 0.0459
0.3333 0.6667 0.2875
0.6667 0.3333 0.7125
0.6667 0.3333 0.9541
```

Calculated values
- SG: R-3m
- Total magnetic moment: 1.3 μB per formula unit

---

*Q*
Below is an optimized crystal structure of ScIrF2, with properties calculated at the GGA-PBE level.

POSCAR file:
```
ScIrF2
1.0
6.0237 0.0000 0.0000
0.0000 6.0237 0.0000
0.0000 0.0000 6.0237
Sc Ir F
4 4 8
direct
0.0000 0.0000 0.0000
0.0000 0.5000 0.5000
0.5000 0.0000 0.5000
0.5000 0.5000 0.0000
0.0000 0.0000 0.5000
0.0000 0.5000 0.0000
0.5000 0.0000 0.0000
0.5000 0.5000 0.5000
0.2500 0.2500 0.2500
0.2500 0.2500 0.7500
0.2500 0.7500 0.2500
0.2500 0.7500 0.7500
0.7500 0.2500 0.2500
0.7500 0.2500 0.7500
0.7500 0.7500 0.2500
0.7500 0.7500 0.7500
```

Calculated values
- SG: Fm-3m
- Total magnetic moment: 2.0 μB per formula unit

---

Winner for stability: *P*

---

*P*
Below is an optimized crystal structure of IrSeF3, with properties calculated at the GGA-PBE level.

POSCAR file:
```
IrSeF3
1.0
4.3519 0.0000 0.0000
0.0000 4.3519 0.0000
0.0000 0.0000 4.3519
Ir Se F
1 1 3
direct
0.0000 0.0000 0.0000
0.5000 0.5000 0.5000
0.0000 0.5000 0.5000
0.5000 0.0000 0.5000
0.5000 0.5000 0.0000
```

Calculated values
- SG: Pm-3m
- Total magnetic moment: 2.5 μB per formula unit

---

*Q*
Below is an optimized crystal structure of IrSeF3, with properties calculated at the GGA-PBE level.

POSCAR file:
```
IrSeF3
1.0
4.2061 0.0000 0.0000
0.0000 4.2061 0.0000
0.0000 0.0000 4.2061
Ir Se F
1 1 3
direct
0.0000 0.0000 0.0000
0.5000 0.5000 0.5000
0.0000 0.0000 0.5000
0.0000 0.5000 0.0000
0.5000 0.0000 0.0000
```

Calculated values
- SG: Pm-3m
- Total magnetic moment: 0.0 μB per formula unit

---

Winner for stability: *Q*

---

*P*
Below is an optimized crystal structure of IrSe2F2, with properties calculated at the GGA-PBE level.

POSCAR file:
```
IrSe2F2
1.0
3.3451 0.0000 0.0000
0.0000 3.3451 0.0000
0.0000 0.0000 12.4246
Ir Se F
2 4 4
direct
0.0000 0.0000 0.0000
0.5000 0.5000 0.5000
0.0000 0.0000 0.3888
0.0000 0.0000 0.6112
0.5000 0.5000 0.1112
0.5000 0.5000 0.8888
0.0000 0.5000 0.2500
0.0000 0.5000 0.7500
0.5000 0.0000 0.2500
0.5000 0.0000 0.7500
```

Calculated values
- SG: I4/mmm
- Total magnetic moment: 0.0 μB per formula unit

---

*Q*
Below is an optimized crystal structure of IrSe2F2, with properties calculated at the GGA-PBE level.

POSCAR file:
```
IrSe2F2
1.0
6.3675 0.0000 0.0000
0.0000 6.3675 0.0000
0.0000 0.0000 4.3115
Ir Se F
2 4 4
direct
0.0000 0.0000 0.0000
0.5000 0.5000 0.0000
0.1549 0.3451 0.0000
0.3451 0.8451 0.0000
0.6549 0.1549 0.0000
0.8451 0.6549 0.0000
0.1492 0.3508 0.5000
0.3508 0.8508 0.5000
0.6492 0.1492 0.5000
0.8508 0.6492 0.5000
```

Calculated values
- SG: P4/mbm
- Total magnetic moment: 0.0 μB per formula unit

---

Winner for stability: *Q*

---

*P*
Below is an optimized crystal structure of Ir3SeF, with properties calculated at the GGA-PBE level.

POSCAR file:
```
Ir3SeF
1.0
4.6014 0.0000 0.0000
0.0000 4.6014 0.0000
0.0000 0.0000 4.6014
Ir Se F
3 1 1
direct
0.0000 0.0000 0.5000
0.0000 0.5000 0.0000
0.5000 0.0000 0.0000
0.0000 0.0000 0.0000
0.5000 0.5000 0.5000
```

Calculated values
- SG: Pm-3m
- Total magnetic moment: 1.4 μB per formula unit

---

*Q*
Below is an optimized crystal structure of Ir3SeF, with properties calculated at the GGA-PBE level.

POSCAR file:
```
Ir3SeF
1.0
4.3227 0.0000 0.0000
0.0000 4.3227 0.0000
0.0000 0.0000 4.3227
Ir Se F
3 1 1
direct
0.0000 0.0000 0.5000
0.0000 0.5000 0.0000
0.5000 0.0000 0.0000
0.5000 0.5000 0.5000
0.0000 0.0000 0.0000
```

Calculated values
- SG: Pm-3m
- Total magnetic moment: 0.0 μB per formula unit

---

Winner for stability: *P*

---

*P*
Below is an optimized crystal structure of SiIrF2, with properties calculated at the GGA-PBE level.

POSCAR file:
```
SiIrF2
1.0
3.5204 0.0000 0.0000
0.0000 3.5204 0.0000
0.0000 0.0000 15.7871
Si Ir F
4 4 8
direct
0.0000 0.0000 0.0000
0.0000 0.5000 0.2500
0.5000 0.0000 0.7500
0.5000 0.5000 0.5000
0.0000 0.0000 0.5000
0.0000 0.5000 0.7500
0.5000 0.0000 0.2500
0.5000 0.5000 0.0000
0.2500 0.2500 0.1250
0.2500 0.2500 0.6250
0.2500 0.7500 0.3750
0.2500 0.7500 0.8750
0.7500 0.2500 0.3750
0.7500 0.2500 0.8750
0.7500 0.7500 0.1250
0.7500 0.7500 0.6250
```

Calculated values
- SG: I-42d
- Total magnetic moment: 0.0 μB per formula unit

---

*Q*
Below is an optimized crystal structure of SiIrF2, with properties calculated at the GGA-PBE level.

POSCAR file:
```
SiIrF2
1.0
5.9223 0.0000 0.0000
0.0000 5.9223 0.0000
0.0000 0.0000 5.9223
Si Ir F
4 4 8
direct
0.0000 0.0000 0.0000
0.0000 0.5000 0.5000
0.5000 0.0000 0.5000
0.5000 0.5000 0.0000
0.0000 0.0000 0.5000
0.0000 0.5000 0.0000
0.5000 0.0000 0.0000
0.5000 0.5000 0.5000
0.2500 0.2500 0.2500
0.2500 0.2500 0.7500
0.2500 0.7500 0.2500
0.2500 0.7500 0.7500
0.7500 0.2500 0.2500
0.7500 0.2500 0.7500
0.7500 0.7500 0.2500
0.7500 0.7500 0.7500
```

Calculated values
- SG: Fm-3m
- Total magnetic moment: 1.4 μB per formula unit

---

*R*
Below is an optimized crystal structure of SiIrF2, with properties calculated at the GGA-PBE level.

POSCAR file:
```
SiIrF2
1.0
2.6312 0.0000 0.0000
-1.3156 2.2786 0.0000
0.0000 0.0000 31.2160
Si Ir F
3 3 6
direct
0.0000 0.0000 0.0000
0.3333 0.6667 0.6667
0.6667 0.3333 0.3333
0.0000 0.0000 0.5000
0.3333 0.6667 0.1667
0.6667 0.3333 0.8333
0.0000 0.0000 0.0523
0.0000 0.0000 0.9477
0.3333 0.6667 0.6144
0.3333 0.6667 0.7190
0.6667 0.3333 0.2810
0.6667 0.3333 0.3856
```

Calculated values
- SG: R-3m
- Total magnetic moment: 0.7 μB per formula unit

---

*S*
Below is an optimized crystal structure of SiIrF2, with properties calculated at the GGA-PBE level.

POSCAR file:
```
SiIrF2
1.0
2.6999 0.0000 0.0000
-1.3499 2.3382 0.0000
0.0000 0.0000 23.6925
Si Ir F
3 3 6
direct
0.0000 0.0000 0.0000
0.3333 0.6667 0.6667
0.6667 0.3333 0.3333
0.0000 0.0000 0.5000
0.3333 0.6667 0.1667
0.6667 0.3333 0.8333
0.0000 0.0000 0.4145
0.0000 0.0000 0.5855
0.3333 0.6667 0.0811
0.3333 0.6667 0.2522
0.6667 0.3333 0.7478
0.6667 0.3333 0.9189
```

Calculated values
- SG: R-3m
- Total magnetic moment: 0.0 μB per formula unit

---

Winner for stability: *R*

---

*P*
Below is an optimized crystal structure of Si2IrF, with properties calculated at the GGA-PBE level.

POSCAR file:
```
Si2IrF
1.0
5.3469 0.0000 0.0000
0.0000 5.3469 0.0000
0.0000 0.0000 10.5435
Si Ir F
8 4 4
direct
0.2380 0.2500 0.1250
0.2500 0.7380 0.3750
0.2500 0.7620 0.8750
0.2620 0.2500 0.6250
0.7380 0.7500 0.6250
0.7500 0.2380 0.8750
0.7500 0.2620 0.3750
0.7620 0.7500 0.1250
0.0000 0.0000 0.0000
0.0000 0.5000 0.2500
0.5000 0.0000 0.7500
0.5000 0.5000 0.5000
0.0000 0.0000 0.5000
0.0000 0.5000 0.7500
0.5000 0.0000 0.2500
0.5000 0.5000 0.0000
```

Calculated values
- SG: I-42d
- Total magnetic moment: 0.0 μB per formula unit

---

*Q*
Below is an optimized crystal structure of Si2IrF, with properties calculated at the GGA-PBE level.

POSCAR file:
```
Si2IrF
1.0
5.9225 0.0000 0.0000
0.0000 5.9225 0.0000
0.0000 0.0000 5.9225
Si Ir F
8 4 4
direct
0.2500 0.2500 0.2500
0.2500 0.2500 0.7500
0.2500 0.7500 0.2500
0.2500 0.7500 0.7500
0.7500 0.2500 0.2500
0.7500 0.2500 0.7500
0.7500 0.7500 0.2500
0.7500 0.7500 0.7500
0.0000 0.0000 0.0000
0.0000 0.5000 0.5000
0.5000 0.0000 0.5000
0.5000 0.5000 0.0000
0.0000 0.0000 0.5000
0.0000 0.5000 0.0000
0.5000 0.0000 0.0000
0.5000 0.5000 0.5000
```

Calculated values
- SG: Fm-3m
- Total magnetic moment: 0.0 μB per formula unit

---

Winner for stability: *Q*

---

*P*
Below is an optimized crystal structure of SiIrF3, with properties calculated at the GGA-PBE level.

POSCAR file:
```
SiIrF3
1.0
4.1255 0.0000 0.0000
0.0000 4.1255 0.0000
0.0000 0.0000 4.1255
Si Ir F
1 1 3
direct
0.0000 0.0000 0.0000
0.5000 0.5000 0.5000
0.0000 0.0000 0.5000
0.0000 0.5000 0.0000
0.5000 0.0000 0.0000
```

Calculated values
- SG: Pm-3m
- Total magnetic moment: 2.0 μB per formula unit

---

*Q*
Below is an optimized crystal structure of SiIrF3, with properties calculated at the GGA-PBE level.

POSCAR file:
```
SiIrF3
1.0
4.2474 0.0000 0.0000
0.0000 4.2474 0.0000
0.0000 0.0000 4.2474
Si Ir F
1 1 3
direct
0.0000 0.0000 0.0000
0.5000 0.5000 0.5000
0.0000 0.5000 0.5000
0.5000 0.0000 0.5000
0.5000 0.5000 0.0000
```

Calculated values
- SG: Pm-3m
- Total magnetic moment: 0.0 μB per formula unit

---

Winner for stability: *P*

---

*P*
Below is an optimized crystal structure of Sm2IrF, with properties calculated at the GGA-PBE level.

POSCAR file:
```
Sm2IrF
1.0
4.2309 0.0000 0.0000
-2.1155 3.6641 0.0000
0.0000 0.0000 22.3113
Sm Ir F
6 3 3
direct
0.0000 0.0000 0.1020
0.0000 0.0000 0.8980
0.3333 0.6667 0.5646
0.3333 0.6667 0.7687
0.6667 0.3333 0.2313
0.6667 0.3333 0.4354
0.0000 0.0000 0.5000
0.3333 0.6667 0.1667
0.6667 0.3333 0.8333
0.0000 0.0000 0.0000
0.3333 0.6667 0.6667
0.6667 0.3333 0.3333
```

Calculated values
- SG: R-3m
- Total magnetic moment: 0.0 μB per formula unit

---

*Q*
Below is an optimized crystal structure of Sm2IrF, with properties calculated at the GGA-PBE level.

POSCAR file:
```
Sm2IrF
1.0
3.9913 0.0000 0.0000
-1.9957 3.4566 0.0000
0.0000 0.0000 23.8530
Sm Ir F
6 3 3
direct
0.0000 0.0000 0.0000
0.0000 0.0000 0.1991
0.3333 0.6667 0.6667
0.3333 0.6667 0.8658
0.6667 0.3333 0.3333
0.6667 0.3333 0.5324
0.0000 0.0000 0.5944
0.3333 0.6667 0.2611
0.6667 0.3333 0.9278
0.0000 0.0000 0.3795
0.3333 0.6667 0.0462
0.6667 0.3333 0.7129
```

Calculated values
- SG: R3m
- Total magnetic moment: 0.0 μB per formula unit

---

Winner for stability: *P*